Compound: BaNdW2O8
Source: Alexandria via LeMat-Bulk
Functional: PBE with a Hubbard U
Structure: relaxed

Its crystal system is trigonal. The raw total energy is -84.9 eV/cell.

The space group is P-3 (No. 147) and the conventional cell measures 5.7659, 5.7659 and 6.9787 Å, with angles of 90.00, 90.00 and 120.00 degrees. The distinct sites, in fractional coordinates, are Ba at (0.0000, 0.0000, 0.0000), Nd at (0.0000, 0.0000, 0.5000), W at (0.3333, 0.6667, 0.5714), O at (0.0520, 0.6605, 0.3744) and O at (0.3333, 0.6667, 0.8351).